# 1
Below is a relaxed Cd2Ge crystal, with properties calculated at the GGA-PBE level.

Unit cell a=5.7954 b=5.7954 c=5.7954 alpha=60.00 beta=60.00 gamma=60.00
Closest atoms and distances in Å follow each position.
Atoms (fractional coordinates):
Cd: 0.0000 0.0000 0.0000  6 Cd 2.90
Cd: 0.0000 0.0000 0.5000  6 Cd 2.90
Cd: 0.0000 0.5000 0.0000  6 Cd 2.90
Cd: 0.5000 0.0000 0.0000  6 Cd 2.90
Ge: 0.3750 0.3750 0.3750  12 Cd 3.40, 4 Ge 3.55
Ge: 0.6250 0.6250 0.6250  12 Cd 3.40, 4 Ge 3.55

Calculated values
Formation energy from the elements (meV/atom): 293
Space-group type: Fd-3m, No. 227
Fermi-level density of states (states/eV/atom): 0.63


# 2
Below is a relaxed Tl2PbCl8 crystal, with properties calculated at the GGA-PBE level.

Unit cell a=10.2088 b=10.2088 c=12.9014 alpha=126.69 beta=126.69 gamma=55.94
Closest atoms and distances in Å follow each position.
Atoms (fractional coordinates):
Tl: 0.1311 0.6790 0.9525  4 Cl 2.40-2.54
Tl: 0.3210 0.8689 0.5475  4 Cl 2.40-2.54
Tl: 0.6790 0.1311 0.4525  4 Cl 2.40-2.54
Tl: 0.8689 0.3210 0.0475  4 Cl 2.40-2.54
Pb: 0.4931 0.5069 0.7500  6 Cl 2.89-3.00
Pb: 0.5069 0.4931 0.2500  6 Cl 2.89-3.00
Cl: 0.1246 0.1387 0.5264  1 Tl 2.40
Cl: 0.1387 0.1246 0.0264  1 Tl 2.40
Cl: 0.1473 0.6212 0.7435  1 Tl 2.48
Cl: 0.2330 0.6115 0.3271  1 Tl 2.54
Cl: 0.2447 0.3935 0.9632  1 Tl 2.52
Cl: 0.3788 0.8527 0.7565  1 Tl 2.48
Cl: 0.3885 0.7670 0.1729  1 Tl 2.54
Cl: 0.3935 0.2447 0.4632  1 Tl 2.52
Cl: 0.6065 0.7553 0.5368  1 Tl 2.52
Cl: 0.6115 0.2330 0.8271  1 Tl 2.54
Cl: 0.6212 0.1473 0.2435  1 Tl 2.48
Cl: 0.7553 0.6065 0.0368  1 Tl 2.52
Cl: 0.7670 0.3885 0.6729  1 Tl 2.54
Cl: 0.8527 0.3788 0.2565  1 Tl 2.48
Cl: 0.8613 0.8754 0.9736  1 Tl 2.40
Cl: 0.8754 0.8613 0.4736  1 Tl 2.40

Calculated values
Space-group type: C2/c, No. 15
Relative energy among the computed polymorphs (meV/atom): 0
E_form (uncorrected) (meV/atom): -777
Fermi-level density of states (states/eV/atom): 0.00


# 3
Below is a relaxed Cd4InCu2 crystal, with properties calculated at the GGA-PBE level.

Unit cell a=9.5002 b=9.5002 c=3.2802 alpha=90.00 beta=90.00 gamma=151.97
Closest atoms and distances in Å follow each position.
Atoms (fractional coordinates):
Cd: 0.1480 0.8520 0.0000  2 Cu 2.75, 4 Cd 2.96
Cd: 0.3046 0.6954 0.5000  2 Cu 2.90, 6 Cd 2.96-3.06
Cd: 0.6954 0.3046 0.5000  2 Cu 2.90, 6 Cd 2.96-3.06
Cd: 0.8520 0.1480 0.0000  2 Cu 2.75, 4 Cd 2.96
In: 0.0000 0.0000 0.5000  8 Cu 3.08, 4 Cd 3.18, 2 In 3.28
Cu: 0.4341 0.5659 0.0000  1 Cu 2.43
Cu: 0.5659 0.4341 0.0000  1 Cu 2.43

Calculated values
Formation energy from the elements (meV/atom): 106
Space-group type: Cmmm, No. 65
Fermi-level density of states (states/eV/atom): 0.34


# 4
Below is a relaxed Ho5ThAs6 crystal, with properties calculated at the GGA-PBE level.

Unit cell a=7.1491 b=7.1491 c=7.1532 alpha=99.63 beta=99.63 gamma=119.94
Closest atoms and distances in Å follow each position.
Atoms (fractional coordinates):
Ho: 0.0000 0.0000 0.0000  6 As 2.89-2.92
Ho: 0.1668 0.8332 0.5000  6 As 2.91-2.92
Ho: 0.3342 0.6658 0.0000  6 As 2.89-2.92
Ho: 0.6658 0.3342 0.0000  6 As 2.89-2.92
Ho: 0.8332 0.1668 0.5000  6 As 2.91-2.92
Th: 0.5000 0.5000 0.5000  6 As 2.95
As: 0.0783 0.4156 0.2467  5 Ho 2.89-2.92, 1 Th 2.95
As: 0.2466 0.2466 0.7517  5 Ho 2.89-2.92, 1 Th 2.95
As: 0.4156 0.0783 0.2467  5 Ho 2.89-2.92, 1 Th 2.95
As: 0.5844 0.9217 0.7533  5 Ho 2.89-2.92, 1 Th 2.95
As: 0.7534 0.7534 0.2483  5 Ho 2.89-2.92, 1 Th 2.95
As: 0.9217 0.5844 0.7533  5 Ho 2.89-2.92, 1 Th 2.95

Calculated values
Formation energy from the elements (meV/atom): -1517
Space-group type: C2/m, No. 12
Fermi-level density of states (states/eV/atom): 0.27